1.
Compound: BaNaTe2
Source: Alexandria via LeMat-Bulk
Functional: PBE
Structure: relaxed

Output
* E_form (uncorrected): -1039 meV per atom

```
BaNaTe2
1.0
2.538 1.465 7.112
-2.538 1.465 7.112
0.000 -2.930 7.112
Ba Na Te
1 1 2
Cartesian
0.000 0.000 0.000
0.000 0.000 3.780
0.000 0.000 12.435
0.000 0.000 16.159
```

2.
Compound: BaNaTe3
Source: Alexandria via LeMat-Bulk
Functional: PBE
Structure: relaxed

Output
* E_form (uncorrected): -926 meV per atom

```
BaNaTe3
1.0
17.536 0.000 0.000
0.000 6.763 0.000
0.000 0.000 6.127
Ba Na Te
4 4 12
Cartesian
4.384 0.000 0.180
4.384 3.381 2.883
13.152 0.000 5.947
13.152 3.381 3.243
0.057 1.691 4.595
8.711 5.072 4.595
8.825 1.691 1.532
17.479 5.072 1.532
1.639 1.691 1.532
2.318 3.910 5.699
2.318 6.234 3.491
6.449 0.529 3.491
6.449 2.852 5.699
7.129 5.072 1.532
10.407 1.691 4.595
11.086 3.910 0.427
11.086 6.234 2.636
15.217 0.529 2.636
15.217 2.852 0.427
15.897 5.072 4.595
```

3.
Compound: BaNa3Te
Source: Alexandria via LeMat-Bulk
Functional: PBE
Structure: relaxed

Output
* E_form (uncorrected): -284 meV per atom

```
BaNa3Te
1.0
6.099 0.000 0.000
0.000 6.099 0.000
0.000 0.000 6.099
Ba Na Te
1 3 1
Cartesian
0.000 0.000 0.000
0.000 3.050 3.050
3.050 0.000 3.050
3.050 3.050 0.000
3.050 3.050 3.050
```

4.
Compound: BaNa3Th2Te6
Source: Alexandria via LeMat-Bulk
Functional: PBE
Structure: relaxed

Output
* E_form (uncorrected): -1200 meV per atom

```
BaNa3Th2Te6
1.0
10.085 -2.283 0.000
10.085 2.283 0.000
-2.159 0.000 9.236
Ba Na Th Te
1 3 2 6
Cartesian
0.000 0.000 0.000
-1.080 0.000 4.618
6.491 0.000 1.519
11.520 0.000 7.717
5.276 0.000 6.101
12.735 0.000 3.135
2.176 0.000 5.342
3.310 0.000 1.002
8.323 0.000 6.714
9.688 0.000 2.521
14.701 0.000 8.234
15.835 0.000 3.894
```

5.
Compound: Ba2NaTmTe4
Source: Alexandria via LeMat-Bulk
Functional: PBE
Structure: relaxed

Output
* E_form (uncorrected): -1467 meV per atom

```
Ba2NaTmTe4
1.0
8.120 0.000 0.000
0.000 4.713 0.000
-2.638 0.000 7.783
Ba Na Tm Te
2 1 1 4
Cartesian
0.000 0.000 0.000
-1.319 2.356 3.892
2.741 0.000 3.892
4.060 2.356 0.000
1.631 2.356 1.899
0.288 0.000 6.004
5.193 0.000 1.779
3.851 2.356 5.884
```

6.
Compound: Ba3NaTm2Te6
Source: Alexandria via LeMat-Bulk
Functional: PBE
Structure: relaxed

Output
* E_form (uncorrected): -1486 meV per atom

```
Ba3NaTm2Te6
1.0
4.032 -6.983 0.000
4.032 6.983 0.000
-2.677 0.000 7.733
Ba Na Tm Te
3 1 2 6
Cartesian
0.000 0.000 0.000
4.032 2.251 0.000
4.032 -2.251 0.000
2.693 0.000 3.866
2.693 4.637 3.866
2.693 -4.637 3.866
1.290 2.421 2.195
-0.092 0.000 5.488
1.290 -2.421 2.195
4.096 2.421 5.538
5.479 0.000 2.245
4.096 -2.421 5.538
```

7.
Compound: Ba2Na3UTe6
Source: Alexandria via LeMat-Bulk
Functional: PBE
Structure: relaxed

Output
* E_form (uncorrected): -1123 meV per atom

```
Ba2Na3UTe6
1.0
4.174 -7.226 0.000
4.174 7.226 0.000
-2.848 0.000 7.389
Ba Na U Te
2 3 1 6
Cartesian
4.174 4.811 0.000
4.174 -4.811 0.000
-1.424 0.000 3.695
2.750 2.427 3.695
2.750 -2.427 3.695
4.174 0.000 0.000
0.113 2.126 5.565
1.736 0.000 1.753
0.113 -2.126 5.565
5.388 2.126 1.824
3.765 0.000 5.636
5.388 -2.126 1.824
```

8.
Compound: BaNaVTe2
Source: Alexandria via LeMat-Bulk
Functional: PBE
Structure: relaxed

Output
* E_form (uncorrected): 994 meV per atom

```
BaNaVTe2
1.0
6.408 0.000 0.000
0.000 6.408 0.000
0.000 0.000 5.858
Ba Na V Te
1 1 1 2
Cartesian
0.000 0.000 0.000
0.000 0.000 2.929
3.204 3.204 2.929
0.000 3.204 0.000
3.204 0.000 0.000
```

9.
Compound: BaNaVTe2
Source: Alexandria via LeMat-Bulk
Functional: PBE
Structure: relaxed

Output
* E_form (uncorrected): 354 meV per atom

```
BaNaVTe2
1.0
5.663 0.000 0.000
0.000 5.663 0.000
0.000 0.000 5.376
Ba Na V Te
1 1 1 2
Cartesian
0.000 0.000 0.000
0.000 0.000 2.688
2.832 2.832 0.000
0.000 2.832 2.688
2.832 0.000 2.688
```

10.
Compound: Ba3NaY2Te6
Source: Alexandria via LeMat-Bulk
Functional: PBE
Structure: relaxed

Output
* E_form (uncorrected): -1525 meV per atom

```
Ba3NaY2Te6
1.0
4.059 -7.029 0.000
4.059 7.029 0.000
-2.698 0.000 7.749
Ba Na Y Te
3 1 2 6
Cartesian
0.000 0.000 0.000
4.059 2.279 0.000
4.059 -2.279 0.000
2.710 0.000 3.875
2.710 4.670 3.875
2.710 -4.670 3.875
1.308 2.421 2.177
-0.078 0.000 5.531
1.308 -2.421 2.177
4.113 2.421 5.573
5.499 0.000 2.218
4.113 -2.421 5.573
```

11.
Compound: Ba4NaY3Te8
Source: Alexandria via LeMat-Bulk
Functional: PBE
Structure: relaxed

Output
* E_form (uncorrected): -1528 meV per atom

```
Ba4NaY3Te8
1.0
4.656 2.688 7.754
-4.656 2.688 7.754
0.000 -5.377 7.754
Ba Na Y Te
4 1 3 8
Cartesian
0.000 0.000 0.000
-2.328 -1.344 7.754
-2.328 1.344 15.508
0.000 2.688 7.754
0.000 0.000 11.631
-4.656 0.000 11.631
-2.328 1.344 3.877
2.328 1.344 3.877
-2.375 -1.371 13.308
0.000 0.000 5.552
0.000 -2.743 9.955
-2.375 1.371 9.955
2.375 -1.371 13.308
0.000 2.743 13.308
0.000 0.000 17.710
2.375 1.371 9.955
```

12.
Compound: Ba2NaTi
Source: Alexandria via LeMat-Bulk
Functional: PBE
Structure: relaxed

Output
* calculated formation energy: 18.8 kcal/mol of atoms

```
Ba2NaTi
1.0
-4.695 4.695 3.703
4.695 -4.695 3.703
4.695 4.695 -3.703
Ba Na Ti
4 2 2
Cartesian
7.042 2.225 -0.926
2.225 2.347 0.926
-2.347 2.470 2.777
2.470 2.347 4.628
4.695 0.000 1.851
0.000 0.000 3.703
0.000 0.000 0.000
0.000 4.695 1.851
```

13.
Compound: BaNaTi2
Source: Alexandria via LeMat-Bulk
Functional: PBE
Structure: relaxed

Output
* calculated formation energy: 25.7 kcal/mol of atoms

```
BaNaTi2
1.0
0.000 3.829 3.829
3.829 0.000 3.829
3.829 3.829 0.000
Ba Na Ti
1 1 2
Cartesian
0.000 0.000 0.000
3.829 3.829 3.829
1.914 1.914 1.914
5.743 5.743 5.743
```

14.
Compound: BaNaTi2
Source: Alexandria via LeMat-Bulk
Functional: PBE
Structure: relaxed

Output
* calculated formation energy: 23.0 kcal/mol of atoms

```
BaNaTi2
1.0
-2.166 2.166 11.821
2.166 -2.166 11.821
2.166 2.166 -11.821
Ba Na Ti
2 2 4
Cartesian
0.000 0.000 0.000
0.000 2.166 5.910
2.166 0.000 5.910
0.000 0.000 11.821
1.083 -1.014 8.866
1.152 1.083 2.955
1.083 3.180 -2.955
1.014 1.083 14.776
```

15.
Compound: BaNa2Ti
Source: Alexandria via LeMat-Bulk
Functional: PBE
Structure: relaxed

Output
* calculated formation energy: 14.5 kcal/mol of atoms

```
BaNa2Ti
1.0
0.000 4.147 4.147
4.147 0.000 4.147
4.147 4.147 0.000
Ba Na Ti
1 2 1
Cartesian
0.000 0.000 0.000
2.074 2.074 2.074
6.221 6.221 6.221
4.147 4.147 4.147
```

16.
Compound: Ba2NaTi
Source: Alexandria via LeMat-Bulk
Functional: PBE
Structure: relaxed

Output
* calculated formation energy: 14.9 kcal/mol of atoms

```
Ba2NaTi
1.0
0.000 4.324 4.324
4.324 0.000 4.324
4.324 4.324 0.000
Ba Na Ti
2 1 1
Cartesian
2.162 2.162 2.162
6.486 6.486 6.486
0.000 0.000 0.000
4.324 4.324 4.324
```

17.
Compound: BaNa2Ti
Source: Alexandria via LeMat-Bulk
Functional: PBE
Structure: relaxed

Output
* calculated formation energy: 16.9 kcal/mol of atoms

```
BaNa2Ti
1.0
-2.416 2.416 12.980
2.416 -2.416 12.980
2.416 2.416 -12.980
Ba Na Ti
2 4 2
Cartesian
0.000 0.000 0.000
0.000 2.416 6.490
1.208 -1.041 9.735
1.375 1.208 3.245
1.208 3.456 -3.245
1.041 1.208 16.225
2.416 0.000 6.490
0.000 0.000 12.980
```

18.
Compound: BaNaTi3
Source: Alexandria via LeMat-Bulk
Functional: PBE
Structure: relaxed

Output
* calculated formation energy: 34.2 kcal/mol of atoms

```
BaNaTi3
1.0
5.114 0.000 0.000
0.000 5.114 0.000
0.000 0.000 5.114
Ba Na Ti
1 1 3
Cartesian
0.000 0.000 0.000
2.557 2.557 2.557
0.000 2.557 2.557
2.557 0.000 2.557
2.557 2.557 0.000
```

19.
Compound: Ba2NaTiW
Source: Alexandria via LeMat-Bulk
Functional: PBE
Structure: relaxed

Output
* calculated formation energy: 19.3 kcal/mol of atoms

```
Ba2NaTiW
1.0
6.403 0.000 0.000
0.000 6.403 0.000
0.000 0.000 4.750
Ba Na Ti W
2 1 1 1
Cartesian
0.000 3.201 0.000
3.201 0.000 0.000
0.000 0.000 2.375
3.201 3.201 2.375
3.201 3.201 0.000
```

20.
Compound: BaNa2Tl9
Source: Alexandria via LeMat-Bulk
Functional: PBE
Structure: relaxed

Output
* calculated formation energy: -2.2 kcal/mol of atoms

```
BaNa2Tl9
1.0
10.985 0.000 0.000
-5.492 9.513 0.000
0.000 0.000 3.569
Ba Na Tl
1 2 9
Cartesian
0.000 0.000 0.000
0.000 6.342 0.000
5.492 3.171 0.000
-2.746 4.757 0.000
0.000 3.363 1.784
-2.580 7.832 1.784
2.912 1.681 1.784
5.492 0.000 0.000
2.746 4.757 0.000
2.580 7.832 1.784
8.073 1.681 1.784
5.492 6.150 1.784
```